(1)
Material: TiCdS2
Method: DFT, GGA-PBEsol
State: optimized geometry

Values from the calculation:
As for the total energy: -66.944 eV/cell. The calculation puts the energy relative to the elements, uncorrected at -1.01 eV/atom. For the density of states at the Fermi level, the calculation gives 4.06 states/eV per cell. The mass density is 4.776 g cm⁻³. Its crystal system is trigonal.

Unit cell a=3.294 b=3.294 c=24.905 alpha=90.00 beta=90.00 gamma=120.00
Fractional positions:
1 Ti 0.000 0.000 0.000
2 Ti 0.333 0.667 0.667
3 Ti 0.667 0.333 0.333
4 Cd 0.000 0.000 0.500
5 Cd 0.333 0.667 0.167
6 Cd 0.667 0.333 0.833
7 S 0.000 0.000 0.392
8 S 0.000 0.000 0.608
9 S 0.333 0.667 0.058
10 S 0.333 0.667 0.275
11 S 0.667 0.333 0.725
12 S 0.667 0.333 0.942

---

(2)
Material: Ba2CaHfS
Method: DFT, GGA-PBEsol
State: optimized geometry

Values from the calculation:
As for the total energy: -23.217 eV/cell. The calculation puts the energy relative to the elements, uncorrected at -0.38 eV/atom. For the density of states at the Fermi level, the calculation gives 9.37 states/eV per cell. The mass density is 4.769 g cm⁻³. Its crystal system is tetragonal.

Unit cell a=6.142 b=6.142 c=4.847 alpha=90.00 beta=90.00 gamma=90.00
Fractional positions:
1 Ba 0.000 0.500 0.000
2 Ba 0.500 0.000 0.000
3 Ca 0.000 0.000 0.500
4 Hf 0.500 0.500 0.500
5 S 0.500 0.500 0.000

---

(3)
Material: KAl3Ag
Method: DFT, GGA-PBEsol
State: optimized geometry

Values from the calculation:
The formation energy comes out at 1753 meV/atom. As for the total energy: -7.952 eV/cell. For the density of states at the Fermi level, the calculation gives 4.80 states/eV per cell. The mass density is 2.276 g cm⁻³. Its crystal system is cubic.

Unit cell a=5.499 b=5.499 c=5.499 alpha=90.00 beta=90.00 gamma=90.00
Fractional positions:
1 K 0.000 0.000 0.000
2 Al 0.000 0.000 0.500
3 Al 0.000 0.500 0.000
4 Al 0.500 0.000 0.000
5 Ag 0.500 0.500 0.500

---

(4)
Material: Cd2CuPb
Method: DFT, GGA-PBEsol
State: optimized geometry

Values from the calculation:
The formation energy comes out at 104 meV/atom. As for the total energy: -10.310 eV/cell. For the density of states at the Fermi level, the calculation gives 1.66 states/eV per cell. The mass density is 9.940 g cm⁻³. Its crystal system is tetragonal.

Unit cell a=3.210 b=3.210 c=8.033 alpha=90.00 beta=90.00 gamma=90.00
Fractional positions:
1 Cd 0.000 0.000 0.191
2 Cd 0.000 0.000 0.809
3 Cu 0.500 0.500 0.000
4 Pb 0.500 0.500 0.500

---

(5)
Material: Zr2NiPt
Method: DFT, GGA-PBEsol
State: optimized geometry

Values from the calculation:
The formation energy comes out at -770 meV/atom. As for the total energy: -68.764 eV/cell. For the density of states at the Fermi level, the calculation gives 4.36 states/eV per cell. The mass density is 10.316 g cm⁻³. Its crystal system is orthorhombic.

Unit cell a=4.136 b=3.362 c=10.099 alpha=90.00 beta=90.00 gamma=90.00
Fractional positions:
1 Zr 0.000 0.000 0.000
2 Zr 0.000 0.500 0.500
3 Zr 0.500 0.000 0.283
4 Zr 0.500 0.500 0.783
5 Ni 0.500 0.000 0.549
6 Ni 0.500 0.500 0.049
7 Pt 0.000 0.000 0.723
8 Pt 0.000 0.500 0.223

---

(6)
Material: YMg2Sc
Method: DFT, GGA-PBEsol
State: optimized geometry

Values from the calculation:
The formation energy comes out at -61 meV/atom. As for the total energy: -68.420 eV/cell. For the density of states at the Fermi level, the calculation gives 21.81 states/eV per cell. The mass density is 3.087 g cm⁻³. Its crystal system is cubic.

Unit cell a=7.322 b=7.322 c=7.322 alpha=90.00 beta=90.00 gamma=90.00
Fractional positions:
1 Y 0.000 0.000 0.000
2 Y 0.000 0.500 0.500
3 Y 0.500 0.000 0.500
4 Y 0.500 0.500 0.000
5 Mg 0.250 0.250 0.250
6 Mg 0.250 0.250 0.750
7 Mg 0.250 0.750 0.250
8 Mg 0.250 0.750 0.750
9 Mg 0.750 0.250 0.250
10 Mg 0.750 0.250 0.750
11 Mg 0.750 0.750 0.250
12 Mg 0.750 0.750 0.750
13 Sc 0.000 0.000 0.500
14 Sc 0.000 0.500 0.000
15 Sc 0.500 0.000 0.000
16 Sc 0.500 0.500 0.500

---

(7)
Material: Pr3Tl
Method: DFT, GGA-PBEsol
State: optimized geometry

Values from the calculation:
The formation energy comes out at -267 meV/atom. As for the total energy: -19.253 eV/cell. For the density of states at the Fermi level, the calculation gives 5.37 states/eV per cell. The mass density is 8.724 g cm⁻³. Its crystal system is cubic.

Unit cell a=4.924 b=4.924 c=4.924 alpha=90.00 beta=90.00 gamma=90.00
Fractional positions:
1 Pr 0.000 0.000 0.500
2 Pr 0.000 0.500 0.000
3 Pr 0.500 0.000 0.000
4 Tl 0.500 0.500 0.500

---

(8)
Material: HfInCo3
Method: DFT, GGA-PBEsol
State: optimized geometry

Values from the calculation:
The formation energy comes out at 1191 meV/atom. As for the total energy: -30.742 eV/cell. For the density of states at the Fermi level, the calculation gives 5.57 states/eV per cell. The mass density is 8.938 g cm⁻³. Its crystal system is cubic.

Unit cell a=4.437 b=4.437 c=4.437 alpha=90.00 beta=90.00 gamma=90.00
Fractional positions:
1 Hf 0.000 0.000 0.000
2 In 0.500 0.500 0.500
3 Co 0.000 0.000 0.500
4 Co 0.000 0.500 0.000
5 Co 0.500 0.000 0.000

---

(9)
Material: Ta2ZnOs
Method: DFT, GGA-PBEsol
State: optimized geometry

Values from the calculation:
The formation energy comes out at 109 meV/atom. As for the total energy: -153.848 eV/cell. For the density of states at the Fermi level, the calculation gives 21.38 states/eV per cell. The mass density is 16.458 g cm⁻³. Its crystal system is cubic.

Unit cell a=6.293 b=6.293 c=6.293 alpha=90.00 beta=90.00 gamma=90.00
Fractional positions:
1 Ta 0.000 0.000 0.000
2 Ta 0.000 0.500 0.500
3 Ta 0.250 0.250 0.250
4 Ta 0.250 0.750 0.750
5 Ta 0.500 0.000 0.500
6 Ta 0.500 0.500 0.000
7 Ta 0.750 0.250 0.750
8 Ta 0.750 0.750 0.250
9 Zn 0.250 0.250 0.750
10 Zn 0.250 0.750 0.250
11 Zn 0.750 0.250 0.250
12 Zn 0.750 0.750 0.750
13 Os 0.000 0.000 0.500
14 Os 0.000 0.500 0.000
15 Os 0.500 0.000 0.000
16 Os 0.500 0.500 0.500

---

(10)
Material: ZrMnSi3
Method: DFT, GGA-PBEsol
State: optimized geometry

Values from the calculation:
As for the total energy: -34.999 eV/cell. The calculation puts the energy relative to the elements, uncorrected at 0.22 eV/atom. For the density of states at the Fermi level, the calculation gives 3.92 states/eV per cell. The mass density is 4.695 g cm⁻³. Its crystal system is cubic.

Unit cell a=4.335 b=4.335 c=4.335 alpha=90.00 beta=90.00 gamma=90.00
Fractional positions:
1 Zr 0.000 0.000 0.000
2 Mn 0.500 0.500 0.500
3 Si 0.000 0.500 0.500
4 Si 0.500 0.000 0.500
5 Si 0.500 0.500 0.000

---

(11)
Material: Li2GePd2
Method: DFT, GGA-PBEsol
State: optimized geometry

Values from the calculation:
The formation energy comes out at -426 meV/atom. As for the total energy: -45.840 eV/cell. For the density of states at the Fermi level, the calculation gives 3.90 states/eV per cell. The mass density is 6.341 g cm⁻³. Its crystal system is tetragonal.

Unit cell a=6.265 b=6.265 c=3.995 alpha=90.00 beta=90.00 gamma=90.00
Fractional positions:
1 Li 0.158 0.342 0.000
2 Li 0.342 0.842 0.000
3 Li 0.658 0.158 0.000
4 Li 0.842 0.658 0.000
5 Ge 0.000 0.000 0.500
6 Ge 0.500 0.500 0.500
7 Pd 0.150 0.650 0.500
8 Pd 0.350 0.150 0.500
9 Pd 0.650 0.850 0.500
10 Pd 0.850 0.350 0.500

---

(12)
Material: RbCdPt3
Method: DFT, GGA-PBEsol
State: optimized geometry

Values from the calculation:
The formation energy comes out at 2160 meV/atom. As for the total energy: -12.311 eV/cell. For the density of states at the Fermi level, the calculation gives 5.20 states/eV per cell. The mass density is 10.541 g cm⁻³. Its crystal system is cubic.

Unit cell a=4.978 b=4.978 c=4.978 alpha=90.00 beta=90.00 gamma=90.00
Fractional positions:
1 Rb 0.000 0.000 0.000
2 Cd 0.500 0.500 0.500
3 Pt 0.000 0.000 0.500
4 Pt 0.000 0.500 0.000
5 Pt 0.500 0.000 0.000

---

(13)
Material: BeIn2PtCl
Method: DFT, GGA-PBEsol
State: optimized geometry

Values from the calculation:
As for the total energy: -20.601 eV/cell. The calculation puts the energy relative to the elements, uncorrected at -0.33 eV/atom. For the density of states at the Fermi level, the calculation gives 1.93 states/eV per cell. The mass density is 6.806 g cm⁻³. Its crystal system is tetragonal.

Unit cell a=5.180 b=5.180 c=4.266 alpha=90.00 beta=90.00 gamma=90.00
Fractional positions:
1 Be 0.000 0.000 0.000
2 In 0.000 0.500 0.500
3 In 0.500 0.000 0.500
4 Pt 0.000 0.000 0.500
5 Cl 0.500 0.500 0.000

---

(14)
Material: Fe
Method: DFT, GGA-PBEsol
State: optimized geometry

Values from the calculation:
The formation energy comes out at 66 meV/atom. As for the total energy: -35.590 eV/cell. For the density of states at the Fermi level, the calculation gives 5.64 states/eV per cell. The mass density is 9.145 g cm⁻³.

Unit cell a=2.393 b=2.393 c=7.082 alpha=90.00 beta=90.00 gamma=90.00
Fractional positions:
1 Fe 0.000 0.000 0.250
2 Fe 0.000 0.000 0.750
3 Fe 0.500 0.500 0.000
4 Fe 0.500 0.500 0.500